Record 1
A relaxed RbTbPdF6 crystal. Source: the Alexandria database, functional GGA-PBE.

Results
* volume: 20.79 Å³/atom
* ΔE_f (raw): -25.0 eV/f.u.
* space-group type: Imma

Structure (POSCAR):
```
RbTbPdF6
1.0
-0.338 -1.968 8.075
6.877 -3.719 -0.618
-0.522 7.708 -2.428
Rb Tb Pd F
2 2 2 12
Direct
0.817 0.567 0.635
0.183 0.433 0.365
0.500 0.000 0.500
0.000 0.000 0.500
0.500 0.500 0.000
0.500 0.000 0.000
0.421 0.671 0.841
0.817 0.067 0.634
0.824 0.089 0.261
0.437 0.671 0.261
0.437 0.089 0.261
0.824 0.671 0.261
0.579 0.329 0.159
0.183 0.933 0.366
0.176 0.911 0.739
0.563 0.329 0.739
0.563 0.911 0.739
0.176 0.329 0.739
```

=====

Record 2
A relaxed PmErPuTl crystal. Source: the Alexandria database, functional GGA-PBE.

Results
* volume: 28.79 Å³/atom
* space-group type: F-43m
* energy of formation from the pure elements: 106.4 meV/atom

Structure (POSCAR):
```
PmErPuTl
1.0
5.461 0.000 0.000
2.731 4.730 0.000
2.731 1.577 4.459
Tl Er Pm Pu
1 1 1 1
Direct
0.000 0.000 0.000
0.750 0.750 0.750
0.500 0.500 0.500
0.250 0.250 0.250
```